Cd2OsW, optimized geometry, DFT GGA-PBE; density of states at the Fermi level = 1.153 states/eV per atom; spin magnetization = 0.003 μB per formula unit; excess energy over the best structure of this formula in the dataset = 553.1 meV per atom; ΔH_f (0 K) = 0.80 eV/atom
1.0
2.766 0.000 0.000
0.000 2.766 0.000
0.000 0.000 9.145
Os W Cd
1 1 2
Cartesian
1.383 1.383 2.286 Os
1.383 1.383 6.859 W
0.000 0.000 0.054 Cd
0.000 0.000 4.519 Cd